The following is a PBE-GGA calculation of a geometry-optimized K3Cd2Br7 structure, from Alexandria.

```
data_K3Cd2Br7
_chemical_formula_sum 'K6 Cd4 Br14'
_symmetry_space_group_name_H-M 'C m m m'
_symmetry_Int_Tables_number 65
_symmetry_space_group_name_Hall '-C 2 2'
_cell_length_a 5.620
_cell_length_b 27.729
_cell_length_c 5.524
_cell_angle_alpha 90.00
_cell_angle_beta 90.00
_cell_angle_gamma 90.00
loop_
_atom_site_label
_atom_site_type_symbol
_atom_site_fract_x
_atom_site_fract_y
_atom_site_fract_z
K1 K 0.000 0.000 0.000
K2 K 0.000 0.171 0.000
Cd1 Cd 0.000 0.398 0.500
Br1 Br 0.000 0.094 0.500
Br2 Br 0.000 0.301 0.500
Br3 Br 0.000 0.405 0.000
Br4 Br 0.000 0.500 0.500
```

=====

The following is a PBE-GGA calculation of a geometry-optimized K2CdBr structure, from Alexandria.

## Properties
E above lowest polymorph: 0.48 eV per formula unit

```
data_K2CdBr
_chemical_formula_sum 'K8 Cd4 Br4'
_symmetry_space_group_name_H-M 'I -4 2 d'
_symmetry_Int_Tables_number 122
_symmetry_space_group_name_Hall 'I -4 2bw'
_cell_length_a 9.196
_cell_length_b 9.196
_cell_length_c 8.843
_cell_angle_alpha 90.00
_cell_angle_beta 90.00
_cell_angle_gamma 90.00
loop_
_atom_site_label
_atom_site_type_symbol
_atom_site_fract_x
_atom_site_fract_y
_atom_site_fract_z
K1 K 0.207 0.250 0.125
Cd1 Cd 0.000 0.000 0.500
Br1 Br 0.000 0.000 0.000
```

=====

It is found that the DFT total energy values, taken in the order of the records, are -2.6388; -1.8763 eV/atom.
It is found that the calculated volume values, taken in the order of the records, are 35.9; 46.7 A^3/atom.
It is found that the formation energy (no corrections) values, taken in the order of the records, are -1.2360; -0.6805 eV per atom.